one | A plane-wave DFT calculation with GGA-PBEsol was carried out for a geometry-optimized Be2ReRh structure.

Its space group is Immm (71). The magnetic moment is 0.0 μB/f.u.

CIF file:
```
data_Be2ReRh
_chemical_formula_sum 'Be2 Re1 Rh1'
_space_group_name_H-M_alt 'P 1'
_space_group_IT_number 1
_cell_length_a 2.7060
_cell_length_b 4.4848
_cell_length_c 4.6615
_cell_angle_alpha 118.75
_cell_angle_beta 106.87
_cell_angle_gamma 90.00
loop_
_space_group_symop_operation_xyz
'x,y,z'
loop_
_atom_site_label
_atom_site_type_symbol
_atom_site_fract_x
_atom_site_fract_y
_atom_site_fract_z
Re1 Re 0.5000 0.0000 0.0000
Rh1 Rh 0.0000 0.5000 0.0000
Be1 Be 0.7402 0.7402 0.4804
Be2 Be 0.2598 0.2598 0.5196
```

---

two | A plane-wave DFT calculation with GGA-PBEsol was carried out for a geometry-optimized Be2ReRh structure.

Its space group is Fm-3m (225). The magnetic moment is 0.0 μB/f.u.

CIF file:
```
data_Be2ReRh
_chemical_formula_sum 'Be2 Re1 Rh1'
_space_group_name_H-M_alt 'P 1'
_space_group_IT_number 1
_cell_length_a 3.9420
_cell_length_b 3.9420
_cell_length_c 3.9420
_cell_angle_alpha 60.00
_cell_angle_beta 60.00
_cell_angle_gamma 60.00
loop_
_space_group_symop_operation_xyz
'x,y,z'
loop_
_atom_site_label
_atom_site_type_symbol
_atom_site_fract_x
_atom_site_fract_y
_atom_site_fract_z
Re1 Re 0.5000 0.5000 0.5000
Rh1 Rh 0.0000 0.0000 0.0000
Be1 Be 0.2500 0.2500 0.2500
Be2 Be 0.7500 0.7500 0.7500
```

---

The calculated energies rank the structures as follows, beginning with the most stable: two, one.

---

one | A plane-wave DFT calculation with GGA-PBEsol was carried out for a geometry-optimized BeReRu2 structure.

Its space group is C2/m (12). The magnetic moment is 0.0 μB/f.u.

CIF file:
```
data_BeReRu2
_chemical_formula_sum 'Be1 Re1 Ru2'
_space_group_name_H-M_alt 'P 1'
_space_group_IT_number 1
_cell_length_a 2.6548
_cell_length_b 4.7725
_cell_length_c 4.8629
_cell_angle_alpha 117.48
_cell_angle_beta 102.73
_cell_angle_gamma 96.16
loop_
_space_group_symop_operation_xyz
'x,y,z'
loop_
_atom_site_label
_atom_site_type_symbol
_atom_site_fract_x
_atom_site_fract_y
_atom_site_fract_z
Re1 Re 0.0000 0.5000 0.0000
Be1 Be 0.5000 0.0000 0.0000
Ru1 Ru 0.0000 0.0000 0.5000
Ru2 Ru 0.5000 0.5000 0.5000
```

---

two | A plane-wave DFT calculation with GGA-PBEsol was carried out for a geometry-optimized BeReRu2 structure.

Its space group is P4/mmm (123). The magnetic moment is 0.0 μB/f.u.

CIF file:
```
data_BeReRu2
_chemical_formula_sum 'Be1 Re1 Ru2'
_space_group_name_H-M_alt 'P 1'
_space_group_IT_number 1
_cell_length_a 2.8019
_cell_length_b 2.8019
_cell_length_c 6.2260
_cell_angle_alpha 90.00
_cell_angle_beta 90.00
_cell_angle_gamma 90.00
loop_
_space_group_symop_operation_xyz
'x,y,z'
loop_
_atom_site_label
_atom_site_type_symbol
_atom_site_fract_x
_atom_site_fract_y
_atom_site_fract_z
Re1 Re 0.5000 0.5000 0.5000
Be1 Be 0.5000 0.5000 0.0000
Ru1 Ru 0.0000 0.0000 0.7807
Ru2 Ru 0.0000 0.0000 0.2193
```

---

The calculated energies rank the structures as follows, beginning with the most stable: two, one.

---

one | A plane-wave DFT calculation with GGA-PBEsol was carried out for a geometry-optimized ScBeRe structure.

Its space group is P3m1 (156). The magnetic moment is 0.0 μB/f.u.

CIF file:
```
data_ScBeRe
_chemical_formula_sum 'Sc1 Be1 Re1'
_space_group_name_H-M_alt 'P 1'
_space_group_IT_number 1
_cell_length_a 2.6863
_cell_length_b 4.3487
_cell_length_c 4.3487
_cell_angle_alpha 120.00
_cell_angle_beta 90.00
_cell_angle_gamma 90.00
loop_
_space_group_symop_operation_xyz
'x,y,z'
loop_
_atom_site_label
_atom_site_type_symbol
_atom_site_fract_x
_atom_site_fract_y
_atom_site_fract_z
Sc1 Sc 0.3269 0.6667 0.3333
Re1 Re 0.7555 0.3333 0.6667
Be1 Be 0.9176 0.0000 0.0000
```

---

two | A plane-wave DFT calculation with GGA-PBEsol was carried out for a geometry-optimized ScBeRe structure.

Its space group is F-43m (216). The magnetic moment is 0.0 μB/f.u.

CIF file:
```
data_ScBeRe
_chemical_formula_sum 'Sc1 Be1 Re1'
_space_group_name_H-M_alt 'P 1'
_space_group_IT_number 1
_cell_length_a 4.1614
_cell_length_b 4.1614
_cell_length_c 4.1614
_cell_angle_alpha 60.00
_cell_angle_beta 60.00
_cell_angle_gamma 60.00
loop_
_space_group_symop_operation_xyz
'x,y,z'
loop_
_atom_site_label
_atom_site_type_symbol
_atom_site_fract_x
_atom_site_fract_y
_atom_site_fract_z
Sc1 Sc 0.0000 0.0000 0.0000
Re1 Re 0.2500 0.2500 0.2500
Be1 Be 0.5000 0.5000 0.5000
```

---

The calculated energies rank the structures as follows, beginning with the most stable: one, two.

---

one | A plane-wave DFT calculation with GGA-PBEsol was carried out for a geometry-optimized TaBeRe2 structure.

Its space group is F-43m (216). The magnetic moment is 0.0 μB/f.u.

CIF file:
```
data_TaBeRe2
_chemical_formula_sum 'Ta1 Be1 Re2'
_space_group_name_H-M_alt 'P 1'
_space_group_IT_number 1
_cell_length_a 4.3136
_cell_length_b 4.3136
_cell_length_c 4.3136
_cell_angle_alpha 60.00
_cell_angle_beta 60.00
_cell_angle_gamma 60.00
loop_
_space_group_symop_operation_xyz
'x,y,z'
loop_
_atom_site_label
_atom_site_type_symbol
_atom_site_fract_x
_atom_site_fract_y
_atom_site_fract_z
Re1 Re 0.0000 0.0000 0.0000
Re2 Re 0.7500 0.7500 0.7500
Be1 Be 0.5000 0.5000 0.5000
Ta1 Ta 0.2500 0.2500 0.2500
```

---

two | A plane-wave DFT calculation with GGA-PBEsol was carried out for a geometry-optimized TaBeRe2 structure.

Its space group is Pmmm (47). The magnetic moment is 0.0 μB/f.u.

CIF file:
```
data_TaBeRe2
_chemical_formula_sum 'Ta1 Be1 Re2'
_space_group_name_H-M_alt 'P 1'
_space_group_IT_number 1
_cell_length_a 3.2886
_cell_length_b 4.1379
_cell_length_c 4.1480
_cell_angle_alpha 90.00
_cell_angle_beta 90.00
_cell_angle_gamma 90.00
loop_
_space_group_symop_operation_xyz
'x,y,z'
loop_
_atom_site_label
_atom_site_type_symbol
_atom_site_fract_x
_atom_site_fract_y
_atom_site_fract_z
Re1 Re 0.0000 0.0000 0.0000
Re2 Re 0.5000 0.0000 0.5000
Be1 Be 0.0000 0.5000 0.5000
Ta1 Ta 0.5000 0.5000 0.0000
```

---

The calculated energies rank the structures as follows, beginning with the most stable: two, one.

---

one | A plane-wave DFT calculation with GGA-PBEsol was carried out for a geometry-optimized Be2ReTc structure.

Its space group is P4mm (99). The magnetic moment is 0.0 μB/f.u.

CIF file:
```
data_Be2ReTc
_chemical_formula_sum 'Be2 Re1 Tc1'
_space_group_name_H-M_alt 'P 1'
_space_group_IT_number 1
_cell_length_a 2.9057
_cell_length_b 2.9057
_cell_length_c 5.5280
_cell_angle_alpha 90.00
_cell_angle_beta 90.00
_cell_angle_gamma 90.00
loop_
_space_group_symop_operation_xyz
'x,y,z'
loop_
_atom_site_label
_atom_site_type_symbol
_atom_site_fract_x
_atom_site_fract_y
_atom_site_fract_z
Re1 Re 0.0000 0.0000 0.4949
Tc1 Tc 0.5000 0.5000 0.7566
Be1 Be 0.0000 0.0000 0.0284
Be2 Be 0.5000 0.5000 0.2201
```

---

two | A plane-wave DFT calculation with GGA-PBEsol was carried out for a geometry-optimized Be2ReTc structure.

Its space group is Amm2 (38). The magnetic moment is 0.0 μB/f.u.

CIF file:
```
data_Be2ReTc
_chemical_formula_sum 'Be2 Re1 Tc1'
_space_group_name_H-M_alt 'P 1'
_space_group_IT_number 1
_cell_length_a 3.0737
_cell_length_b 3.1703
_cell_length_c 4.6109
_cell_angle_alpha 90.00
_cell_angle_beta 109.47
_cell_angle_gamma 90.00
loop_
_space_group_symop_operation_xyz
'x,y,z'
loop_
_atom_site_label
_atom_site_type_symbol
_atom_site_fract_x
_atom_site_fract_y
_atom_site_fract_z
Re1 Re 0.0999 0.0000 0.1998
Tc1 Tc 0.3999 0.5000 0.7997
Be1 Be 0.8190 0.0000 0.6379
Be2 Be 0.6809 0.5000 0.3618
```

---

The calculated energies rank the structures as follows, beginning with the most stable: two, one.

---

one | A plane-wave DFT calculation with GGA-PBEsol was carried out for a geometry-optimized BeTlRe2 structure.

Its space group is I4/mmm (139). The magnetic moment is 0.0 μB/f.u.

CIF file:
```
data_BeTlRe2
_chemical_formula_sum 'Be1 Tl1 Re2'
_space_group_name_H-M_alt 'P 1'
_space_group_IT_number 1
_cell_length_a 3.7620
_cell_length_b 3.7620
_cell_length_c 5.0564
_cell_angle_alpha 111.84
_cell_angle_beta 111.84
_cell_angle_gamma 90.00
loop_
_space_group_symop_operation_xyz
'x,y,z'
loop_
_atom_site_label
_atom_site_type_symbol
_atom_site_fract_x
_atom_site_fract_y
_atom_site_fract_z
Re1 Re 0.7500 0.2500 0.5000
Re2 Re 0.2500 0.7500 0.5000
Tl1 Tl 0.5000 0.5000 0.0000
Be1 Be 0.0000 0.0000 0.0000
```

---

two | A plane-wave DFT calculation with GGA-PBEsol was carried out for a geometry-optimized BeTlRe2 structure.

Its space group is Pmmm (47). The magnetic moment is 0.0 μB/f.u.

CIF file:
```
data_BeTlRe2
_chemical_formula_sum 'Be1 Tl1 Re2'
_space_group_name_H-M_alt 'P 1'
_space_group_IT_number 1
_cell_length_a 3.0679
_cell_length_b 4.4109
_cell_length_c 4.4848
_cell_angle_alpha 90.00
_cell_angle_beta 90.00
_cell_angle_gamma 90.00
loop_
_space_group_symop_operation_xyz
'x,y,z'
loop_
_atom_site_label
_atom_site_type_symbol
_atom_site_fract_x
_atom_site_fract_y
_atom_site_fract_z
Re1 Re 0.0000 0.0000 0.0000
Re2 Re 0.5000 0.5000 0.0000
Tl1 Tl 0.5000 0.0000 0.5000
Be1 Be 0.0000 0.5000 0.5000
```

---

The calculated energies rank the structures as follows, beginning with the most stable: two, one.